Record 1
First-principles (GGA-PBE) data for an optimized crystal structure of Ac2LaPrSm, as listed in Alexandria via LeMat-Bulk.

It has space group Pmma (No. 51), with a = 6.545 Å, b = 8.915 Å, c = 6.970 Å, α = 90.00°, β = 90.00° and γ = 90.00°. The inequivalent atoms are Ac at (0.250, 0.205, 0.206), La at (0.250, 0.500, 0.917), Pr at (0.250, 0.000, 0.675) and Sm at (0.000, 0.500, 0.500).

The energy of formation from the pure elements comes out at 231 meV per atom. The energy comes out at -4.298 eV per atom.

---

Record 2
First-principles (GGA-PBE) data for an optimized crystal structure of AcLa2Pr6Sm, as listed in Alexandria via LeMat-Bulk.

It has space group C2/c (No. 15), with a = 9.435 Å, b = 15.756 Å, c = 10.130 Å, α = 90.00°, β = 97.39° and γ = 90.00°. The inequivalent atoms are Ac at (0.000, 0.018, 0.250), La at (0.250, 0.056, 0.543), Pr at (0.068, 0.191, 0.946), Pr at (0.102, 0.398, 0.119), Pr at (0.206, 0.226, 0.312) and Sm at (0.000, 0.407, 0.750).

The energy of formation from the pure elements comes out at 109 meV per atom. The energy comes out at -4.627 eV per atom.

---

Record 3
First-principles (GGA-PBE) data for an optimized crystal structure of AcLa2Pr2Sm2, as listed in Alexandria via LeMat-Bulk.

It has space group C2/m (No. 12), with a = 11.861 Å, b = 5.301 Å, c = 8.327 Å, α = 90.00°, β = 98.02° and γ = 90.00°. The inequivalent atoms are Ac at (0.000, 0.000, 0.000), La at (0.215, 0.500, 0.149), Pr at (0.074, 0.500, 0.707) and Sm at (0.143, 0.000, 0.432).

The energy of formation from the pure elements comes out at 26 meV per atom. The energy comes out at -4.682 eV per atom.

---

Record 4
First-principles (GGA-PBE) data for an optimized crystal structure of Ac2La2Pr4Sm, as listed in Alexandria via LeMat-Bulk.

It has space group C2/m (No. 12), with a = 19.687 Å, b = 3.820 Å, c = 10.151 Å, α = 90.00°, β = 115.70° and γ = 90.00°. The inequivalent atoms are Ac at (0.146, 0.000, 0.165), La at (0.165, 0.500, 0.503), Pr at (0.018, 0.500, 0.821), Pr at (0.185, 0.000, 0.832) and Sm at (0.000, 0.000, 0.500).

The energy of formation from the pure elements comes out at 21 meV per atom. The energy comes out at -4.636 eV per atom.

---

Record 5
First-principles (GGA-PBE) data for an optimized crystal structure of Ac6La3Pr2Sm, as listed in Alexandria via LeMat-Bulk.

It has space group C2/m (No. 12), with a = 6.714 Å, b = 11.647 Å, c = 12.616 Å, α = 90.00°, β = 100.28° and γ = 90.00°. The inequivalent atoms are Ac at (0.249, 0.166, 0.247), Ac at (0.250, 0.000, 0.753), La at (0.000, 0.167, 0.500), La at (0.000, 0.500, 0.500), Pr at (0.000, 0.333, 0.000) and Sm at (0.000, 0.000, 0.000).

The energy of formation from the pure elements comes out at 24 meV per atom. The energy comes out at -4.452 eV per atom.

---

Record 6
First-principles (GGA-PBE) data for an optimized crystal structure of Ac2LaPrSm4, as listed in Alexandria via LeMat-Bulk.

It has space group C2/c (No. 15), with a = 14.150 Å, b = 13.861 Å, c = 7.162 Å, α = 90.00°, β = 120.19° and γ = 90.00°. The inequivalent atoms are Ac at (0.000, 0.000, 0.000), Ac at (0.250, 0.250, 0.000), La at (0.000, 0.500, 0.000), Pr at (0.250, 0.250, 0.500), Sm at (0.001, 0.260, 0.485) and Sm at (0.237, 0.493, 0.485).

The energy of formation from the pure elements comes out at 375 meV per atom. The energy comes out at -4.225 eV per atom.